[1]
Computed, not measured: a relaxed TbY7Tm4 crystal at the PBE level of DFT.

Results
DFT formation energy = 0.2445 eV/atom
Spin magnetization = 0.041 μB per atom

Lattice parameters (Å, degrees): 8.498 8.498 9.337 115.48 115.48 40.22
Element x y z (fractional)
1 Tb 0.000 0.000 0.000
2 Y 0.082 0.082 0.444
3 Y 0.212 0.212 0.238
4 Y 0.214 0.214 0.880
5 Y 0.500 0.500 0.000
6 Y 0.786 0.786 0.120
7 Y 0.788 0.788 0.762
8 Y 0.918 0.918 0.556
9 Tm 0.329 0.329 0.617
10 Tm 0.429 0.429 0.301
11 Tm 0.571 0.571 0.699
12 Tm 0.671 0.671 0.383

---

[2]
Computed, not measured: a relaxed Tb4Y2Tm crystal at the PBE level of DFT.

Results
DFT formation energy = 0.1301 eV/atom
Spin magnetization = 0.000 μB per atom

Lattice parameters (Å, degrees): 6.234 6.505 11.454 90.00 105.33 90.00
Element x y z (fractional)
1 Tb 0.042 0.250 0.366
2 Tb 0.142 0.250 0.949
3 Tb 0.342 0.506 0.214
4 Tb 0.342 0.994 0.214
5 Tb 0.658 0.006 0.786
6 Tb 0.658 0.494 0.786
7 Tb 0.858 0.750 0.051
8 Tb 0.958 0.750 0.634
9 Y 0.294 0.750 0.922
10 Y 0.385 0.750 0.506
11 Y 0.615 0.250 0.494
12 Y 0.706 0.250 0.078
13 Tm 0.162 0.250 0.666
14 Tm 0.838 0.750 0.334

---

[3]
Computed, not measured: a relaxed TbY8Tm2 crystal at the PBE level of DFT.

Results
DFT formation energy = 0.1307 eV/atom
Spin magnetization = 0.076 μB per atom

Lattice parameters (Å, degrees): 6.624 6.624 9.201 104.49 104.49 67.32
Element x y z (fractional)
1 Tb 0.000 0.000 0.000
2 Y 0.211 0.657 0.724
3 Y 0.310 0.310 0.998
4 Y 0.331 0.331 0.381
5 Y 0.343 0.789 0.276
6 Y 0.657 0.211 0.724
7 Y 0.669 0.669 0.619
8 Y 0.690 0.690 0.002
9 Y 0.789 0.343 0.276
10 Tm 0.146 0.146 0.617
11 Tm 0.854 0.854 0.383

---

[4]
Computed, not measured: a relaxed Tb2Y3Tm3 crystal at the PBE level of DFT.

Results
DFT formation energy = 0.2510 eV/atom
Spin magnetization = 0.800 μB per atom

Lattice parameters (Å, degrees): 6.410 6.410 6.410 89.99 89.99 89.99
Element x y z (fractional)
1 Tb 0.248 0.248 0.248
2 Tb 0.752 0.752 0.752
3 Y 0.249 0.751 0.500
4 Y 0.500 0.249 0.751
5 Y 0.751 0.500 0.249
6 Tm 0.000 0.249 0.751
7 Tm 0.249 0.751 0.000
8 Tm 0.751 0.000 0.249

---

[5]
Computed, not measured: a relaxed TbYTm crystal at the PBE level of DFT.

Results
DFT formation energy = 0.0241 eV/atom
Spin magnetization = 0.000 μB per atom

Lattice parameters (Å, degrees): 7.915 7.915 5.006 90.00 90.00 143.11
Element x y z (fractional)
1 Tb 0.084 0.916 0.750
2 Tb 0.916 0.084 0.250
3 Y 0.416 0.584 0.750
4 Y 0.584 0.416 0.250
5 Tm 0.250 0.750 0.250
6 Tm 0.750 0.250 0.750

---

[6]
Computed, not measured: a relaxed Tb3Y7Tm2 crystal at the PBE level of DFT.

Results
DFT formation energy = 0.0739 eV/atom
Spin magnetization = 0.000 μB per atom

Lattice parameters (Å, degrees): 6.361 3.539 17.188 90.00 90.18 90.00
Element x y z (fractional)
1 Tb 0.000 0.000 0.000
2 Tb 0.498 0.500 0.659
3 Tb 0.502 0.500 0.341
4 Y 0.176 0.500 0.167
5 Y 0.255 0.000 0.502
6 Y 0.324 0.000 0.832
7 Y 0.500 0.500 0.000
8 Y 0.676 0.000 0.168
9 Y 0.745 0.000 0.498
10 Y 0.824 0.500 0.833
11 Tm 0.008 0.000 0.326
12 Tm 0.992 0.000 0.674

---

Number 1: volume 32.3 Å³ per atom, energy above the lowest structure with this stoichiometry 0.1531 eV/atom. Number 2: volume 32.0 Å³ per atom, energy above the lowest structure with this stoichiometry 0.1235 eV/atom. Number 3: volume 32.3 Å³ per atom, energy above the lowest structure with this stoichiometry 0.0000 eV/atom. Number 4: volume 32.9 Å³ per atom, energy above the lowest structure with this stoichiometry 0.1490 eV/atom. Number 5: volume 31.4 Å³ per atom, energy above the lowest structure with this stoichiometry 0.0002 eV/atom. Number 6: volume 32.2 Å³ per atom, energy above the lowest structure with this stoichiometry 0.0000 eV/atom.